{"formula": "KMg2Re", "functional": "PBE", "state": "optimized geometry", "lattice_angstrom": [[-2.1471, 2.1471, 4.7321], [2.1471, -2.1471, 4.7321], [2.1471, 2.1471, -4.7321]], "species": ["K", "Mg", "Mg", "Re"], "frac_coords": [[0.0000, 0.0000, 0.0000], [0.2500, 0.7500, 0.5000], [0.5000, 0.5000, 0.0000], [0.7500, 0.2500, 0.5000]], "spacegroup": "I-4m2 (119)", "polymorph_energy_mev_per_atom": 602.0, "ef_ev_per_atom": 1.20, "final_energy_ev_per_atom": -2.9792}


{"formula": "KMgRe2", "functional": "PBE", "state": "optimized geometry", "lattice_angstrom": [[5.5135, 0.0000, 0.0000], [0.0000, 5.5135, 0.0000], [0.0000, 0.0000, 2.6162]], "species": ["K", "Mg", "Re", "Re"], "frac_coords": [[0.0000, 0.0000, 0.0000], [0.5000, 0.5000, 0.0000], [0.0000, 0.5000, 0.5000], [0.5000, 0.0000, 0.5000]], "spacegroup": "P4/mmm (123)", "polymorph_energy_mev_per_atom": 1311.3, "ef_ev_per_atom": 1.85, "final_energy_ev_per_atom": -5.0440}


{"formula": "K2MgRe", "functional": "PBE", "state": "optimized geometry", "lattice_angstrom": [[-4.8969, 4.8969, 2.9161], [4.8969, -4.8969, 2.9161], [4.8969, 4.8969, -2.9161]], "species": ["K", "K", "K", "K", "Mg", "Mg", "Re", "Re"], "frac_coords": [[0.0826, 0.6250, 0.9576], [0.3750, 0.3326, 0.4576], [0.6674, 0.1250, 0.0424], [0.8750, 0.9174, 0.5424], [0.2500, 0.7500, 0.5000], [0.5000, 0.5000, 0.0000], [0.0000, 0.0000, 0.0000], [0.7500, 0.2500, 0.5000]], "spacegroup": "I-42d (122)", "polymorph_energy_mev_per_atom": 614.9, "ef_ev_per_atom": 1.53, "final_energy_ev_per_atom": -2.5244}


{"formula": "KMgRe3", "functional": "PBE", "state": "optimized geometry", "lattice_angstrom": [[4.5947, 0.0000, 0.0000], [0.0000, 4.5947, 0.0000], [0.0000, 0.0000, 4.5947]], "species": ["K", "Mg", "Re", "Re", "Re"], "frac_coords": [[0.0000, 0.0000, 0.0000], [0.5000, 0.5000, 0.5000], [0.0000, 0.0000, 0.5000], [0.0000, 0.5000, 0.0000], [0.5000, 0.0000, 0.0000]], "spacegroup": "Pm-3m (221)", "polymorph_energy_mev_per_atom": 712.4, "ef_ev_per_atom": 3.58, "final_energy_ev_per_atom": -4.4283}


Q: Number 2 is which compound?
A: KMgRe2


Repeat the second record exactly.
{"formula": "KMgRe2", "functional": "PBE", "state": "optimized geometry", "lattice_angstrom": [[5.5135, 0.0000, 0.0000], [0.0000, 5.5135, 0.0000], [0.0000, 0.0000, 2.6162]], "species": ["K", "Mg", "Re", "Re"], "frac_coords": [[0.0000, 0.0000, 0.0000], [0.5000, 0.5000, 0.0000], [0.0000, 0.5000, 0.5000], [0.5000, 0.0000, 0.5000]], "spacegroup": "P4/mmm (123)", "polymorph_energy_mev_per_atom": 1311.3, "ef_ev_per_atom": 1.85, "final_energy_ev_per_atom": -5.0440}


Please write out number 2 again, unchanged.
{"formula": "KMgRe2", "functional": "PBE", "state": "optimized geometry", "lattice_angstrom": [[5.5135, 0.0000, 0.0000], [0.0000, 5.5135, 0.0000], [0.0000, 0.0000, 2.6162]], "species": ["K", "Mg", "Re", "Re"], "frac_coords": [[0.0000, 0.0000, 0.0000], [0.5000, 0.5000, 0.0000], [0.0000, 0.5000, 0.5000], [0.5000, 0.0000, 0.5000]], "spacegroup": "P4/mmm (123)", "polymorph_energy_mev_per_atom": 1311.3, "ef_ev_per_atom": 1.85, "final_energy_ev_per_atom": -5.0440}